Material: ZnCdBi2
Method: DFT, GGA-PBE
State: relaxed

extended XYZ file:
```
4
Lattice="4.601 0.000 0.000 2.300 3.984 0.000 2.300 1.328 6.193" Properties=species:S:1:pos:R:3 pbc="T T T"
Zn 6.901 3.984 6.178
Bi 2.300 1.328 1.391
Bi 2.300 1.328 4.838
Cd 4.601 2.656 3.076
```

Computed properties:
DOS at the Fermi energy = 1.7 states/eV/f.u.
E above lowest polymorph = 0 meV/atom
Energy relative to the elements = 12 kJ/mol of atoms